# GGA-PBE Si3AsS, optimized geometry
# DFT total energy, eV/cell: -20.56
# Formation energy (no corrections), eV/atom: 0.90
# Size of the total moment, μB/f.u.: 0.0
# Energy above the most stable polymorph in this dataset, eV per atom: 0.000
# D(E_F), states/eV/f.u.: 3.32
data_Si3AsS
_chemical_formula_sum 'Si3 As1 S1'
_space_group_name_H-M_alt 'P m -3 m'
_space_group_IT_number 221
_space_group_name_Hall '-P 4 2 3'
_cell_length_a 4.613
_cell_length_b 4.613
_cell_length_c 4.613
_cell_angle_alpha 90.00
_cell_angle_beta 90.00
_cell_angle_gamma 90.00
loop_
_atom_site_label
_atom_site_type_symbol
_atom_site_fract_x
_atom_site_fract_y
_atom_site_fract_z
Si1 Si 0.000 0.000 0.500
As1 As 0.500 0.500 0.500
S1 S 0.000 0.000 0.000

# GGA-PBE CaAu2Br, optimized geometry
# DFT total energy, eV/cell: -26.31
# Formation energy (no corrections), eV/atom: -0.73
# Size of the total moment, μB/f.u.: 0.0
# Energy above the most stable polymorph in this dataset, eV per atom: 0.153
# D(E_F), states/eV/f.u.: 0.34
data_CaAu2Br
_chemical_formula_sum 'Ca2 Au4 Br2'
_space_group_name_H-M_alt 'C 1 2/m 1'
_space_group_IT_number 12
_space_group_name_Hall '-C 2y'
_cell_length_a 12.218
_cell_length_b 3.857
_cell_length_c 4.219
_cell_angle_alpha 90.00
_cell_angle_beta 109.93
_cell_angle_gamma 90.00
loop_
_atom_site_label
_atom_site_type_symbol
_atom_site_fract_x
_atom_site_fract_y
_atom_site_fract_z
Ca1 Ca 0.000 0.000 0.000
Au1 Au 0.247 0.500 0.247
Br1 Br 0.000 0.500 0.500

# GGA-PBE K3TiI, optimized geometry
# DFT total energy, eV/cell: -11.27
# Formation energy (no corrections), eV/atom: 0.29
# Size of the total moment, μB/f.u.: 3.7
# Energy above the most stable polymorph in this dataset, eV per atom: 0.000
# D(E_F), states/eV/f.u.: 12.18
data_K3TiI
_chemical_formula_sum 'K3 Ti1 I1'
_space_group_name_H-M_alt 'P m -3 m'
_space_group_IT_number 221
_space_group_name_Hall '-P 4 2 3'
_cell_length_a 6.665
_cell_length_b 6.665
_cell_length_c 6.665
_cell_angle_alpha 90.00
_cell_angle_beta 90.00
_cell_angle_gamma 90.00
loop_
_atom_site_label
_atom_site_type_symbol
_atom_site_fract_x
_atom_site_fract_y
_atom_site_fract_z
K1 K 0.000 0.000 0.500
Ti1 Ti 0.500 0.500 0.500
I1 I 0.000 0.000 0.000

# GGA-PBE Zr5CoAu2, optimized geometry
# DFT total energy, eV/cell: -118.17
# Size of the total moment, μB/f.u.: 0.0
# D(E_F), states/eV/f.u.: 9.59
data_Zr5CoAu2
_chemical_formula_sum 'Zr10 Co2 Au4'
_space_group_name_H-M_alt 'P b a m'
_space_group_IT_number 55
_space_group_name_Hall '-P 2 2ab'
_cell_length_a 7.293
_cell_length_b 10.899
_cell_length_c 4.147
_cell_angle_alpha 90.00
_cell_angle_beta 90.00
_cell_angle_gamma 90.00
loop_
_atom_site_label
_atom_site_type_symbol
_atom_site_fract_x
_atom_site_fract_y
_atom_site_fract_z
Zr1 Zr 0.000 0.000 0.000
Zr2 Zr 0.142 0.291 0.000
Zr3 Zr 0.181 0.571 0.500
Co1 Co 0.000 0.500 0.000
Au1 Au 0.079 0.830 0.500

# GGA-PBE Nd6In5Hg, optimized geometry
# DFT total energy, eV/cell: -92.70
# Size of the total moment, μB/f.u.: 0.0
# Energy above the most stable polymorph in this dataset, eV per atom: 0.177
# D(E_F), states/eV/f.u.: 7.89
data_Nd6In5Hg
_chemical_formula_sum 'Nd12 In10 Hg2'
_space_group_name_H-M_alt 'C 1 2/m 1'
_space_group_IT_number 12
_space_group_name_Hall '-C 2y'
_cell_length_a 6.659
_cell_length_b 11.616
_cell_length_c 10.008
_cell_angle_alpha 90.00
_cell_angle_beta 102.65
_cell_angle_gamma 90.00
loop_
_atom_site_label
_atom_site_type_symbol
_atom_site_fract_x
_atom_site_fract_y
_atom_site_fract_z
Nd1 Nd 0.242 0.000 0.236
Nd2 Nd 0.243 0.167 0.745
In1 In 0.000 0.000 0.500
In2 In 0.000 0.184 0.000
In3 In 0.000 0.347 0.500
Hg1 Hg 0.000 0.500 0.000

# GGA-PBE SrSnHg3, optimized geometry
# DFT total energy, eV/cell: -4.32
# Size of the total moment, μB/f.u.: 0.0
# Energy above the most stable polymorph in this dataset, eV per atom: 0.759
# D(E_F), states/eV/f.u.: 6.92
data_SrSnHg3
_chemical_formula_sum 'Sr1 Sn1 Hg3'
_space_group_name_H-M_alt 'P m -3 m'
_space_group_IT_number 221
_space_group_name_Hall '-P 4 2 3'
_cell_length_a 5.990
_cell_length_b 5.990
_cell_length_c 5.990
_cell_angle_alpha 90.00
_cell_angle_beta 90.00
_cell_angle_gamma 90.00
loop_
_atom_site_label
_atom_site_type_symbol
_atom_site_fract_x
_atom_site_fract_y
_atom_site_fract_z
Sr1 Sr 0.000 0.000 0.000
Sn1 Sn 0.500 0.500 0.500
Hg1 Hg 0.000 0.000 0.500

# GGA-PBE Pm6Fe2Sn, optimized geometry
# DFT total energy, eV/cell: -202.84
# Size of the total moment, μB/f.u.: 0.8
# D(E_F), states/eV/f.u.: 7.12
data_Pm6Fe2Sn
_chemical_formula_sum 'Pm24 Fe8 Sn4'
_space_group_name_H-M_alt 'I m m m'
_space_group_IT_number 71
_space_group_name_Hall '-I 2 2'
_cell_length_a 9.631
_cell_length_b 9.961
_cell_length_c 10.225
_cell_angle_alpha 90.00
_cell_angle_beta 90.00
_cell_angle_gamma 90.00
loop_
_atom_site_label
_atom_site_type_symbol
_atom_site_fract_x
_atom_site_fract_y
_atom_site_fract_z
Pm1 Pm 0.000 0.207 0.236
Pm2 Pm 0.186 0.500 0.172
Pm3 Pm 0.218 0.316 0.500
Fe1 Fe 0.000 0.328 0.000
Fe2 Fe 0.000 0.500 0.392
Sn1 Sn 0.000 0.000 0.000
Sn2 Sn 0.000 0.000 0.500

# GGA-PBE TaCu2Ir, optimized geometry
# DFT total energy, eV/cell: -115.47
# Size of the total moment, μB/f.u.: 0.0
# Energy above the most stable polymorph in this dataset, eV per atom: 0.209
# D(E_F), states/eV/f.u.: 5.38
data_TaCu2Ir
_chemical_formula_sum 'Ta4 Cu8 Ir4'
_space_group_name_H-M_alt 'F m -3 m'
_space_group_IT_number 225
_space_group_name_Hall '-F 4 2 3'
_cell_length_a 6.064
_cell_length_b 6.064
_cell_length_c 6.064
_cell_angle_alpha 90.00
_cell_angle_beta 90.00
_cell_angle_gamma 90.00
loop_
_atom_site_label
_atom_site_type_symbol
_atom_site_fract_x
_atom_site_fract_y
_atom_site_fract_z
Ta1 Ta 0.000 0.000 0.000
Cu1 Cu 0.250 0.250 0.250
Ir1 Ir 0.000 0.000 0.500